# GGA-PBE Ho2ScTe, relaxed
# - VASP energy: -5.21 eV per atom
# - Formation energy (no corrections): -2.22 eV per formula unit
# - Spin magnetization: 0.0 μB per formula unit
# - Crystal system: tetragonal
# - Density of states at the Fermi level: 3.69 states/eV/cell
data_Ho2ScTe
_chemical_formula_sum 'Ho2 Sc1 Te1'
_symmetry_space_group_name_H-M 'P 1'
_symmetry_Int_Tables_number 1
_cell_length_a 3.922
_cell_length_b 3.922
_cell_length_c 7.030
_cell_angle_alpha 90.00
_cell_angle_beta 90.00
_cell_angle_gamma 90.00
loop_
_symmetry_equiv_pos_as_xyz
'x,y,z'
loop_
_atom_site_label
_atom_site_fract_x
_atom_site_fract_y
_atom_site_fract_z
Sc1 0.500 0.500 0.000
Te1 0.500 0.500 0.500
Ho1 0.000 0.000 0.745
Ho2 0.000 0.000 0.255

=====

# GGA-PBE HoScTe, relaxed
# - VASP energy: -5.42 eV per atom
# - Formation energy (no corrections): -2.21 eV per formula unit
# - Spin magnetization: 0.0 μB per formula unit
# - Crystal system: tetragonal
# - Density of states at the Fermi level: 2.07 states/eV/cell
data_HoScTe
_chemical_formula_sum 'Ho1 Sc1 Te1'
_symmetry_space_group_name_H-M 'P 1'
_symmetry_Int_Tables_number 1
_cell_length_a 3.771
_cell_length_b 3.771
_cell_length_c 6.055
_cell_angle_alpha 108.14
_cell_angle_beta 108.14
_cell_angle_gamma 90.00
loop_
_symmetry_equiv_pos_as_xyz
'x,y,z'
loop_
_atom_site_label
_atom_site_fract_x
_atom_site_fract_y
_atom_site_fract_z
Sc1 0.319 0.319 0.637
Te1 0.681 0.681 0.362
Ho1 0.000 0.000 0.001